No. 1
A relaxed structure of HoAuSO, computed with PBE-GGA.

Cell lengths 5.608, 5.602, 10.701 Å; angles 90.00, 91.79, 90.00 degrees
Sites, in units of the cell vectors:
Ho 0.005 0.000 0.099
Ho 0.495 0.001 0.901
Ho 0.505 0.501 0.099
Ho 0.995 0.500 0.901
Au 0.002 0.020 0.721
Au 0.316 0.274 0.503
Au 0.684 0.774 0.497
Au 0.998 0.520 0.279
S 0.294 0.230 0.288
S 0.300 0.312 0.718
S 0.700 0.812 0.282
S 0.706 0.730 0.712
O 0.249 0.249 0.001
O 0.252 0.750 0.000
O 0.748 0.250 0.000
O 0.751 0.749 0.999

Results
**Magnetization**: 0.0001 μB/atom
**Space group**: P2_1 (4)
**Crystal system**: monoclinic
**ΔE to the lowest computed polymorph**: 0.0 meV per atom

---

No. 2
A relaxed structure of Sm3As2Se, computed with PBE-GGA.

Cell lengths 7.271, 7.271, 7.271 Å; angles 146.41, 131.85, 59.98 degrees
Sites, in units of the cell vectors:
Sm 0.000 0.000 0.000
Sm 0.328 0.328 0.000
Sm 0.672 0.672 0.000
As 0.166 0.666 0.500
As 0.834 0.334 0.500
Se 0.500 0.000 0.500

Results
**Magnetization**: 0.0020 μB/atom
**Space group**: Immm (71)
**Crystal system**: orthorhombic
**ΔE to the lowest computed polymorph**: 0.0 meV per atom

---

No. 3
A relaxed structure of Ho2Hf, computed with PBE-GGA.

Cell lengths 7.574, 7.574, 4.746 Å; angles 90.00, 90.00, 143.06 degrees
Sites, in units of the cell vectors:
Ho 0.078 0.922 0.750
Ho 0.250 0.750 0.250
Ho 0.750 0.250 0.750
Ho 0.922 0.078 0.250
Hf 0.425 0.575 0.750
Hf 0.575 0.425 0.250

Results
**Magnetization**: 0.0003 μB/atom
**Space group**: Cmcm (63)
**Crystal system**: orthorhombic
**ΔH_f (0 K)**: 41 kJ/mol of formula units
**ΔE to the lowest computed polymorph**: 0.0 meV per atom

---

No. 4
A relaxed structure of NbRe5, computed with PBE-GGA.

Cell lengths 5.135, 5.135, 8.365 Å; angles 90.00, 90.00, 120.00 degrees
Sites, in units of the cell vectors:
Nb 0.333 0.667 0.000
Nb 0.667 0.333 0.500
Re 0.000 0.000 0.059
Re 0.000 0.000 0.559
Re 0.172 0.344 0.312
Re 0.172 0.828 0.312
Re 0.333 0.667 0.635
Re 0.344 0.172 0.812
Re 0.656 0.828 0.312
Re 0.667 0.333 0.135
Re 0.828 0.172 0.812
Re 0.828 0.656 0.812

Results
**Magnetization**: 0.0012 μB/atom
**Space group**: P6_3mc (186)
**Crystal system**: hexagonal
**ΔH_f (0 K)**: 46 kJ/mol of formula units

---

No. 5
A relaxed structure of NdErPO, computed with PBE-GGA.

Cell lengths 4.367, 4.367, 8.790 Å; angles 90.00, 90.00, 90.00 degrees
Sites, in units of the cell vectors:
Nd 0.250 0.250 0.113
Nd 0.750 0.750 0.887
Er 0.250 0.750 0.500
Er 0.750 0.250 0.500
P 0.250 0.250 0.686
P 0.750 0.750 0.314
O 0.250 0.750 0.000
O 0.750 0.250 0.000

Results
**Magnetization**: 0.0017 μB/atom
**Space group**: P4/nmm (129)
**Crystal system**: tetragonal
**ΔE to the lowest computed polymorph**: 76.7 meV per atom

---

No. 6
A relaxed structure of NaNbFeSn, computed with PBE-GGA.

Cell lengths 4.625, 4.625, 4.625 Å; angles 60.00, 60.00, 60.00 degrees
Sites, in units of the cell vectors:
Na 0.000 0.000 0.000
Nb 0.500 0.500 0.500
Fe 0.250 0.250 0.250
Sn 0.750 0.750 0.750

Results
**Magnetization**: 0.3394 μB/atom
**Space group**: F-43m (216)
**Crystal system**: cubic
**ΔE to the lowest computed polymorph**: 135.2 meV per atom

---

No. 7
A relaxed structure of Ho3Co, computed with PBE-GGA.

Cell lengths 4.569, 4.569, 4.569 Å; angles 90.00, 90.00, 90.00 degrees
Sites, in units of the cell vectors:
Ho 0.000 0.000 0.500
Ho 0.000 0.500 0.000
Ho 0.500 0.000 0.000
Co 0.500 0.500 0.500

Results
**Magnetization**: 0.0044 μB/atom
**Space group**: Pm-3m (221)
**Crystal system**: cubic
**ΔH_f (0 K)**: 97 kJ/mol of formula units

---

No. 8
A relaxed structure of Li2ScTaSe4, computed with PBE-GGA.

Cell lengths 3.623, 3.623, 13.465 Å; angles 90.00, 90.00, 120.00 degrees
Sites, in units of the cell vectors:
Li 0.000 0.000 0.250
Li 0.000 0.000 0.750
Sc 0.000 0.000 0.000
Ta 0.000 0.000 0.500
Se 0.333 0.667 0.127
Se 0.333 0.667 0.873
Se 0.667 0.333 0.379
Se 0.667 0.333 0.621

Results
**VASP energy**: -5.722 eV per atom
**Magnetization**: 0.0087 μB/atom
**Space group**: P-6m2 (187)
**Crystal system**: hexagonal

---

No. 9
A relaxed structure of PmGaNi, computed with PBE-GGA.

Cell lengths 4.667, 4.667, 4.667 Å; angles 60.00, 60.00, 60.00 degrees
Sites, in units of the cell vectors:
Pm 0.000 0.000 0.000
Ga 0.750 0.750 0.750
Ni 0.250 0.250 0.250

Results
**Magnetization**: 0.0001 μB/atom
**Space group**: F-43m (216)
**Crystal system**: cubic
**ΔE to the lowest computed polymorph**: 838.6 meV per atom

---

No. 10
A relaxed structure of NaPuTa, computed with PBE-GGA.

Cell lengths 4.694, 4.694, 4.694 Å; angles 60.00, 60.00, 60.00 degrees
Sites, in units of the cell vectors:
Na 0.000 0.000 0.000
Pu 0.250 0.250 0.250
Ta 0.500 0.500 0.500

Results
**Magnetization**: 2.0571 μB/atom
**Space group**: F-43m (216)
**Crystal system**: cubic
**ΔE to the lowest computed polymorph**: 0.0 meV per atom

---

No. 11
A relaxed structure of TaInSn, computed with PBE-GGA.

Cell lengths 4.861, 4.861, 4.861 Å; angles 60.00, 60.00, 60.00 degrees
Sites, in units of the cell vectors:
Ta 0.000 0.000 0.000
In 0.500 0.500 0.500
Sn 0.750 0.750 0.750

Results
**Magnetization**: 0.6627 μB/atom
**Space group**: F-43m (216)
**Crystal system**: cubic
**ΔE to the lowest computed polymorph**: 298.7 meV per atom

---

No. 12
A relaxed structure of YInPd, computed with PBE-GGA.

Cell lengths 7.712, 7.712, 3.850 Å; angles 90.00, 90.00, 120.00 degrees
Sites, in units of the cell vectors:
Y 0.000 0.591 0.000
Y 0.409 0.409 0.000
Y 0.591 0.000 0.000
In 0.000 0.259 0.500
In 0.259 0.000 0.500
In 0.741 0.741 0.500
Pd 0.000 0.000 0.000
Pd 0.333 0.667 0.500
Pd 0.667 0.333 0.500

Results
**VASP energy**: -5.620 eV per atom
**Magnetization**: 0.0001 μB/atom
**Space group**: P-62m (189)
**Crystal system**: hexagonal

---

No. 13
A relaxed structure of Tm2GeO5, computed with PBE-GGA.

Cell lengths 8.101, 8.101, 10.261 Å; angles 118.69, 118.69, 49.14 degrees
Sites, in units of the cell vectors:
Tm 0.007 0.267 0.837
Tm 0.208 0.723 0.536
Tm 0.267 0.007 0.337
Tm 0.277 0.792 0.964
Tm 0.723 0.208 0.036
Tm 0.733 0.993 0.663
Tm 0.792 0.277 0.464
Tm 0.993 0.733 0.163
Ge 0.220 0.409 0.690
Ge 0.409 0.220 0.190
Ge 0.591 0.780 0.810
Ge 0.780 0.591 0.310
O 0.040 0.348 0.675
O 0.081 0.884 0.101
O 0.083 0.686 0.677
O 0.116 0.919 0.399
O 0.221 0.371 0.048
O 0.314 0.917 0.823
O 0.348 0.040 0.175
O 0.371 0.221 0.548
O 0.416 0.420 0.867
O 0.420 0.416 0.367
O 0.580 0.584 0.633
O 0.584 0.580 0.133
O 0.629 0.779 0.452
O 0.652 0.960 0.825
O 0.686 0.083 0.177
O 0.779 0.629 0.952
O 0.884 0.081 0.601
O 0.917 0.314 0.323
O 0.919 0.116 0.899
O 0.960 0.652 0.325

Results
**Magnetization**: 0.0002 μB/atom
**Space group**: C2/c (15)
**Crystal system**: monoclinic
**ΔE to the lowest computed polymorph**: 0.0 meV per atom

---

No. 14
A relaxed structure of UReB, computed with PBE-GGA.

Cell lengths 4.274, 4.274, 4.274 Å; angles 60.00, 60.00, 60.00 degrees
Sites, in units of the cell vectors:
U 0.000 0.000 0.000
Re 0.250 0.250 0.250
B 0.750 0.750 0.750

Results
**Magnetization**: 0.0010 μB/atom
**Space group**: F-43m (216)
**Crystal system**: cubic
**ΔE to the lowest computed polymorph**: 1009.0 meV per atom

---

No. 15
A relaxed structure of ErNbPO, computed with PBE-GGA.

Cell lengths 3.798, 7.124, 5.571 Å; angles 90.00, 90.00, 90.00 degrees
Sites, in units of the cell vectors:
Er 0.000 0.211 0.000
Er 0.000 0.789 0.500
Nb 0.500 0.402 0.511
Nb 0.500 0.598 0.011
P 0.000 0.174 0.490
P 0.000 0.826 0.990
O 0.500 0.320 0.885
O 0.500 0.680 0.385

Results
**Magnetization**: 0.0788 μB/atom
**Space group**: Pmc2_1 (26)
**Crystal system**: orthorhombic
**ΔE to the lowest computed polymorph**: 513.4 meV per atom

---

No. 16
A relaxed structure of PrPuZr, computed with PBE-GGA.

Cell lengths 4.988, 4.988, 4.988 Å; angles 60.00, 60.00, 60.00 degrees
Sites, in units of the cell vectors:
Pr 0.000 0.000 0.000
Pu 0.250 0.250 0.250
Zr 0.500 0.500 0.500

Results
**Magnetization**: 2.4380 μB/atom
**Space group**: F-43m (216)
**Crystal system**: cubic
**ΔH_f (0 K)**: 262 kJ/mol of formula units
**ΔE to the lowest computed polymorph**: 0.0 meV per atom

---

No. 17
A relaxed structure of TmLu2In3AgPt2, computed with PBE-GGA.

Cell lengths 3.707, 7.772, 7.772 Å; angles 120.03, 90.00, 90.00 degrees
Sites, in units of the cell vectors:
Tm 0.000 0.000 0.000
Lu 0.000 0.409 0.819
Lu 0.000 0.819 0.409
In 0.500 0.140 0.409
In 0.500 0.409 0.140
In 0.500 0.679 0.679
Ag 0.000 0.409 0.409
Pt 0.500 0.076 0.743
Pt 0.500 0.743 0.076

Results
**VASP energy**: -4.886 eV per atom
**Magnetization**: 0.0005 μB/atom
**Space group**: Amm2 (38)
**Crystal system**: orthorhombic

---

No. 18
A relaxed structure of Nd4IrCl5, computed with PBE-GGA.

Cell lengths 9.601, 9.601, 8.507 Å; angles 106.05, 106.05, 24.58 degrees
Sites, in units of the cell vectors:
Nd 0.002 0.002 0.278
Nd 0.344 0.344 0.389
Nd 0.656 0.656 0.611
Nd 0.998 0.998 0.722
Ir 0.500 0.500 0.500
Cl 0.167 0.167 0.847
Cl 0.174 0.174 0.381
Cl 0.500 0.500 0.000
Cl 0.826 0.826 0.619
Cl 0.833 0.833 0.153

Results
**VASP energy**: -5.429 eV per atom
**Magnetization**: 0.0000 μB/atom
**Space group**: C2/m (12)
**Crystal system**: monoclinic

---

No. 19
A relaxed structure of GdCd2Hg, computed with PBE-GGA.

Cell lengths 4.979, 6.630, 6.630 Å; angles 119.21, 90.00, 90.00 degrees
Sites, in units of the cell vectors:
Gd 0.250 0.164 0.836
Gd 0.750 0.836 0.164
Cd 0.250 0.185 0.347
Cd 0.250 0.660 0.342
Cd 0.750 0.342 0.660
Cd 0.750 0.347 0.185
Hg 0.250 0.666 0.844
Hg 0.750 0.844 0.666

Results
**Magnetization**: 0.0003 μB/atom
**Space group**: Ama2 (40)
**Crystal system**: orthorhombic
**ΔH_f (0 K)**: -130 kJ/mol of formula units
**ΔE to the lowest computed polymorph**: 5.6 meV per atom

---

No. 20
A relaxed structure of HoTm3Al2C2, computed with PBE-GGA.

Cell lengths 3.514, 3.514, 15.766 Å; angles 90.00, 90.00, 120.00 degrees
Sites, in units of the cell vectors:
Ho 0.000 0.000 0.000
Tm 0.000 0.000 0.669
Tm 0.333 0.667 0.171
Tm 0.333 0.667 0.500
Al 0.000 0.000 0.335
Al 0.333 0.667 0.833
C 0.667 0.333 0.086
C 0.667 0.333 0.585

Results
**VASP energy**: -5.775 eV per atom
**Magnetization**: 0.0491 μB/atom
**Space group**: P3m1 (156)
**Crystal system**: trigonal